First-principles (PBE) data for crystalline La3Al2RhO9 at its relaxed geometry, as listed in Alexandria.

abc: 5.456 5.456 6.722
angles: 90.00 90.00 120.00
Atoms (fractional coordinates):
La1 0.000 0.000 0.000
La2 0.333 0.667 0.662
La3 0.667 0.333 0.338
Al1 0.333 0.667 0.156
Al2 0.667 0.333 0.844
Rh1 0.000 0.000 0.500
O1 0.000 0.500 0.000
O2 0.172 0.345 0.324
O3 0.172 0.828 0.324
O4 0.345 0.172 0.676
O5 0.500 0.000 0.000
O6 0.500 0.500 0.000
O7 0.655 0.828 0.324
O8 0.828 0.172 0.676
O9 0.828 0.655 0.676

Output
V: 11.55 A^3/atom
size of the total moment: 0.00 μB/f.u.
raw formation energy: -2.85 eV per atom